A relaxed structure of CaIrPt, computed with PBE-GGA.

Output
ΔH_f (0 K)   -0.228 eV per atom
E above lowest polymorph   0.4721 eV/atom

Cell lengths 2.871, 4.223, 9.826 Å; angles 90.00, 90.00, 90.00 degrees
Space group Imm2 (No. 44)
Inequivalent atoms, fractional coordinates:
Ca1 0.000 0.000 0.000 [2 per cell]
Ir1 0.000 0.000 0.715 [2 per cell]
Pt1 0.000 0.000 0.286 [2 per cell]